The following is a DFT calculation (PBE-GGA) of a relaxed BaCo2As crystal.

Computed properties:
* E_tot: -5.022 eV per atom
* size of the total moment: 0.71 μB per atom
* symmetry: Imm2
* calculated density: 5.722 Mg/m³

Lattice parameters (Å, degrees): 5.3259 5.3259 5.3259 135.39 109.28 87.59
With the nearest neighbours (Å) after each atom.
Atoms (fractional coordinates):
Ba 0.0000 0.0000 0.0000  4 As 3.22-3.36, 4 Co 3.24-3.48
Co 0.3688 0.8688 0.5000  2 Co 2.31, 1 As 2.34
Co 0.5147 0.5147 0.0000  2 Co 2.31, 2 As 2.36
As 0.6733 0.1733 0.5000  3 Co 2.34-2.36